This record from Alexandria describes Cd2IrPb at its PBEsol-relaxed geometry. The functional is SCAN.

Computed properties:
Formation energy from the elements in eV/f.u.: 1.52
Space-group type: Cmmm (65)

Structure (POSCAR):
```
Cd2IrPb
1.0
2.8684 -4.2045 0.0000
2.8684 4.2045 0.0000
0.0000 0.0000 3.2459
Cd Ir Pb
2 1 1
direct
0.0000 0.5000 0.0000
0.5000 0.0000 0.0000
0.0000 0.0000 0.5000
0.5000 0.5000 0.5000
```

=====

This record from Alexandria describes CdIr2Pb at its PBEsol-relaxed geometry. The functional is SCAN.

Computed properties:
Formation energy from the elements in eV/f.u.: 1.97
Space-group type: Cmmm (65)

Structure (POSCAR):
```
CdIr2Pb
1.0
3.0598 -3.6515 0.0000
3.0598 3.6515 0.0000
0.0000 0.0000 3.0798
Cd Ir Pb
1 2 1
direct
0.0000 0.0000 0.0000
0.0000 0.5000 0.5000
0.5000 0.0000 0.5000
0.5000 0.5000 0.0000
```

=====

This record from Alexandria describes Cd3IrPd at its PBEsol-relaxed geometry. The functional is SCAN.

Computed properties:
Formation energy from the elements in eV/f.u.: 5.07
Space-group type: Pm-3m (221)

Structure (POSCAR):
```
Cd3IrPd
1.0
4.8752 0.0000 0.0000
0.0000 4.8752 0.0000
0.0000 0.0000 4.8752
Cd Ir Pd
3 1 1
direct
0.0000 0.0000 0.5000
0.0000 0.5000 0.0000
0.5000 0.0000 0.0000
0.5000 0.5000 0.5000
0.0000 0.0000 0.0000
```

=====

This record from Alexandria describes Cd2SnIrPd at its PBEsol-relaxed geometry. The functional is SCAN.

Computed properties:
Formation energy from the elements in eV/f.u.: 4.30
Space-group type: P4/mmm (123)

Structure (POSCAR):
```
Cd2SnIrPd
1.0
4.9006 0.0000 0.0000
0.0000 4.9006 0.0000
0.0000 0.0000 4.8496
Cd Sn Ir Pd
2 1 1 1
direct
0.0000 0.5000 0.0000
0.5000 0.0000 0.0000
0.0000 0.0000 0.5000
0.5000 0.5000 0.5000
0.0000 0.0000 0.0000
```

=====

This record from Alexandria describes ZnCdIrPd2 at its PBEsol-relaxed geometry. The functional is SCAN.

Computed properties:
Formation energy from the elements in eV/f.u.: 3.36
Space-group type: P4/mmm (123)

Structure (POSCAR):
```
ZnCdIrPd2
1.0
4.4971 0.0000 0.0000
0.0000 4.4971 0.0000
0.0000 0.0000 4.5596
Zn Cd Ir Pd
1 1 1 2
direct
0.0000 0.0000 0.0000
0.5000 0.5000 0.5000
0.0000 0.0000 0.5000
0.0000 0.5000 0.0000
0.5000 0.0000 0.0000
```

=====

This record from Alexandria describes CdIr2Pt at its PBEsol-relaxed geometry. The functional is SCAN.

Computed properties:
Formation energy from the elements in eV/f.u.: 0.81
Space-group type: R-3m (166)

Structure (POSCAR):
```
CdIr2Pt
1.0
1.3930 0.8042 9.1009
-1.3930 0.8042 9.1009
0.0000 -1.6085 9.1009
Cd Ir Pt
1 2 1
direct
0.0000 0.0000 0.0000
0.2465 0.2465 0.2465
0.7535 0.7535 0.7535
0.5000 0.5000 0.5000
```

=====

This record from Alexandria describes Cd2IrPt at its PBEsol-relaxed geometry. The functional is SCAN.

Computed properties:
Formation energy from the elements in eV/f.u.: 0.55
Space-group type: R3m (160)

Structure (POSCAR):
```
Cd2IrPt
1.0
1.4304 0.8258 9.4062
-1.4304 0.8258 9.4062
0.0000 -1.6517 9.4062
Cd Ir Pt
2 1 1
direct
0.0000 0.0000 0.0000
0.2402 0.2402 0.2402
0.7481 0.7481 0.7481
0.4916 0.4916 0.4916
```

=====

This record from Alexandria describes CdIrPt at its PBEsol-relaxed geometry. The functional is SCAN.

Computed properties:
Formation energy from the elements in eV/f.u.: 2.67
Space-group type: F-43m (216)

Structure (POSCAR):
```
CdIrPt
1.0
0.0000 3.0318 3.0318
3.0318 0.0000 3.0318
3.0318 3.0318 0.0000
Cd Ir Pt
1 1 1
direct
0.0000 0.0000 0.0000
0.7500 0.7500 0.7500
0.2500 0.2500 0.2500
```